1.
Density functional theory data (GGA-PBEsol) for a geometry-optimized K3RbAu structure.

Results
Density of states at the Fermi level in states/eV/f.u.: 3.1
Uncorrected energy in eV per formula unit: -8.74

```
data_K3RbAu
_chemical_formula_sum 'K6 Rb2 Au2'
_cell_length_a 7.945
_cell_length_b 8.176
_cell_length_c 9.093
_cell_angle_alpha 77.25
_cell_angle_beta 72.60
_cell_angle_gamma 77.99
_space_group_name_H-M_alt 'P -1'
_space_group_IT_number 2
_space_group_name_Hall '-P 1'
loop_
_atom_site_label
_atom_site_type_symbol
_atom_site_fract_x
_atom_site_fract_y
_atom_site_fract_z
K1 K 0.213 0.432 0.076
K2 K 0.238 0.377 0.596
K3 K 0.279 0.865 0.732
Rb1 Rb 0.265 0.895 0.217
Au1 Au 0.049 0.162 0.947
```



2.
Density functional theory data (GGA-PBEsol) for a geometry-optimized InTeSeN2 structure.

Results
Density of states at the Fermi level in states/eV/f.u.: 2.3
Uncorrected formation energy in eV per atom: 1.3965

```
data_InTeSeN2
_chemical_formula_sum 'In1 Te1 Se1 N2'
_cell_length_a 4.197
_cell_length_b 4.197
_cell_length_c 6.159
_cell_angle_alpha 90.00
_cell_angle_beta 90.00
_cell_angle_gamma 90.00
_space_group_name_H-M_alt 'P 4/m m m'
_space_group_IT_number 123
_space_group_name_Hall '-P 4 2'
loop_
_atom_site_label
_atom_site_type_symbol
_atom_site_fract_x
_atom_site_fract_y
_atom_site_fract_z
In1 In 0.000 0.000 0.000
Te1 Te 0.000 0.000 0.500
Se1 Se 0.500 0.500 0.500
N1 N 0.000 0.500 0.000
```



3.
Density functional theory data (GGA-PBEsol) for a geometry-optimized Mg2CuSe structure.

Results
Density of states at the Fermi level in states/eV/f.u.: 0.9
Uncorrected formation energy in eV per atom: -0.3371

```
data_Mg2CuSe
_chemical_formula_sum 'Mg4 Cu2 Se2'
_cell_length_a 6.740
_cell_length_b 3.814
_cell_length_c 6.405
_cell_angle_alpha 90.00
_cell_angle_beta 109.52
_cell_angle_gamma 90.00
_space_group_name_H-M_alt 'C 1 2/m 1'
_space_group_IT_number 12
_space_group_name_Hall '-C 2y'
loop_
_atom_site_label
_atom_site_type_symbol
_atom_site_fract_x
_atom_site_fract_y
_atom_site_fract_z
Mg1 Mg 0.248 0.000 0.239
Cu1 Cu 0.000 0.500 0.000
Se1 Se 0.000 0.000 0.500
```



4.
Density functional theory data (GGA-PBEsol) for a geometry-optimized MnAu2Se structure.

Results
Density of states at the Fermi level in states/eV/f.u.: 1.9
Uncorrected formation energy in eV per atom: 0.1758

```
data_MnAu2Se
_chemical_formula_sum 'Mn1 Au2 Se1'
_cell_length_a 2.899
_cell_length_b 2.899
_cell_length_c 8.258
_cell_angle_alpha 90.00
_cell_angle_beta 90.00
_cell_angle_gamma 90.00
_space_group_name_H-M_alt 'P 4/m m m'
_space_group_IT_number 123
_space_group_name_Hall '-P 4 2'
loop_
_atom_site_label
_atom_site_type_symbol
_atom_site_fract_x
_atom_site_fract_y
_atom_site_fract_z
Mn1 Mn 0.000 0.000 0.000
Au1 Au 0.500 0.500 0.217
Se1 Se 0.000 0.000 0.500
```